No. 1
DFT (PBE-GGA) results for a relaxed structure of Hf2AgIr2.

Results
Uncorrected energy   -8.612 eV per atom
Mass density   15.0 g cm⁻³
Excess energy over the best structure of this formula in the dataset   0.149 eV per atom
Calculated formation energy   -516 meV per atom

Unit cell a=7.849 b=7.849 c=3.050 alpha=90.00 beta=90.00 gamma=90.00
Atoms (fractional coordinates):
Ir 0.142 0.642 0.500
Ir 0.642 0.858 0.500
Ir 0.858 0.358 0.500
Ir 0.358 0.142 0.500
Hf 0.350 0.850 0.000
Hf 0.850 0.650 0.000
Hf 0.650 0.150 0.000
Hf 0.150 0.350 0.000
Ag 0.000 0.000 0.000
Ag 0.500 0.500 0.000

***

No. 2
DFT (PBE-GGA) results for a relaxed structure of Zr3Ta.

Results
Uncorrected energy   -9.260 eV per atom
Mass density   8.8 g cm⁻³
Excess energy over the best structure of this formula in the dataset   0.012 eV per atom
Calculated formation energy   115 meV per atom

Unit cell a=3.002 b=3.002 c=10.193 alpha=90.00 beta=90.00 gamma=110.22
Atoms (fractional coordinates):
Ta 0.000 0.000 0.000
Zr 0.000 0.000 0.500
Zr 0.500 0.500 0.233
Zr 0.500 0.500 0.767

***

Which of these has the highest mass density? Hf2AgIr2

***

Which of these has the lowest uncorrected energy? Zr3Ta

***

Which value of uncorrected energy does entry 2 give? -9.260 eV per atom

***

uncorrected energy of number 2 (Zr3Ta)? -9.260 eV per atom